This record from Alexandria via LeMat-Bulk describes Ac3LaTc after structural relaxation. The functional is PBE.

Summary:
D(E_F) = 4.708 states/eV/f.u.
Space group = No. 74
Formation energy = 0.0506 eV per atom
Theoretical density = 7838 kg/m³
Total energy = -5.473 eV per atom
Excess energy over the best structure of this formula in the dataset = 0 meV per atom

a = 8.0236 Å, b = 8.0236 Å, c = 8.0236 Å
α = 112.57°, β = 99.87°, γ = 116.41°
Last column: nearest neighbours and their distance in Å.
Atoms (fractional coordinates):
Ac 0.2180 0.0000 0.7180  1 Tc 2.91
Ac 0.2180 0.5000 0.2180  1 Tc 2.91
Ac 0.2730 0.0230 0.2500  2 Tc 2.94
Ac 0.7270 0.9770 0.7500  2 Tc 2.94
Ac 0.7820 0.0000 0.2820  1 Tc 2.91
Ac 0.7820 0.5000 0.7820  1 Tc 2.91
La 0.2900 0.5400 0.7500  2 Tc 2.85
La 0.7100 0.4600 0.2500  2 Tc 2.85
Tc 0.5000 0.0000 0.0000  2 La 2.85, 4 Ac 2.91-2.94
Tc 0.5000 0.5000 0.5000  2 La 2.85, 4 Ac 2.91-2.94